PmPrGa6: optimized geometry, PBE.

Computed properties:
Formation enthalpy at 0 K: -0.576 eV per atom
Density: 7.02 g/cm³
N(E_F): 2.72 states/eV/cell
Size of the total moment: 0.00 μB per formula unit

Cell lengths 6.4605, 6.4605, 4.6077 Å; angles 90.00, 90.00, 120.00 degrees
Space group P-6m2 (No. 187)
One atom of each set of equivalent atoms:
Pm 0.0000 0.0000 0.0000
Pr 0.3333 0.6667 0.5000
Ga 0.3798 0.1899 0.5000
Ga 0.5247 0.0493 0.0000